# Cr2SbIrF (PBE with a Hubbard U, relaxed)
data_Cr2SbIrF
_cell_length_a 5.385
_cell_length_b 5.385
_cell_length_c 4.853
_cell_angle_alpha 90.00
_cell_angle_beta 90.00
_cell_angle_gamma 90.00
_space_group_name_H-M_alt 'P 4/m m m'
_space_group_IT_number 123
_space_group_name_Hall '-P 4 2'
loop_
_atom_site_label
_atom_site_fract_x
_atom_site_fract_y
_atom_site_fract_z
Cr1 0.000 0.500 0.000
Sb1 0.000 0.000 0.000
Ir1 0.000 0.000 0.500
F1 0.500 0.500 0.500
# distance to the lowest polymorph of the same formula: 483 meV/atom